Record 1
Compound: SrOsRh4
Source: Alexandria
Functional: GGA-PBE
Structure: optimized geometry

**Formation energy from the elements**: 431.8 meV/atom

```
SrOsRh4
1.0
0.442 -4.799 2.102
-3.751 -3.589 -0.830
0.964 -4.144 -3.089
Sr Os Rh
1 1 4
direct
0.750 0.750 0.750
0.000 0.000 0.000
0.877 0.374 0.374
0.374 0.374 0.877
0.374 0.877 0.374
0.374 0.374 0.374
```


Record 2
Compound: CaInBi2
Source: Alexandria
Functional: GGA-PBE
Structure: optimized geometry

**Formation energy from the elements**: -221.4 meV/atom

```
CaInBi2
1.0
5.190 0.000 0.000
2.595 4.495 0.000
2.595 1.498 6.000
Ca In Bi
1 1 2
direct
0.675 0.675 0.974
0.493 0.493 0.522
0.079 0.079 0.762
0.253 0.253 0.242
```


Record 3
Compound: MnNiP2
Source: Alexandria
Functional: GGA-PBE
Structure: optimized geometry

**Formation energy from the elements**: -199.7 meV/atom

```
MnNiP2
1.0
2.627 0.000 0.000
0.000 2.793 -0.471
0.000 1.088 6.447
Mn Ni P
1 1 2
direct
0.500 0.250 0.250
0.500 0.750 0.750
0.000 0.750 0.035
0.000 0.750 0.465
```


Across the entries above, electronic total energy takes the values -6.621; -3.347; -6.642 eV/atom, respectively.
Across the entries above, density of states at the Fermi level takes the values 1.478; 0.731; 0.474 states/eV per atom, respectively.